Record 1
Tm2ScPt3: relaxed, PBE-GGA.

```
Tm2ScPt3
1.0
3.984 0.000 0.000
0.000 5.617 0.000
0.000 0.000 11.809
Tm Sc Pt
4 2 6
direct
0.000 0.000 0.171
0.000 0.000 0.829
0.500 0.500 0.329
0.500 0.500 0.671
0.000 0.000 0.500
0.500 0.500 0.000
0.000 0.500 0.155
0.000 0.500 0.500
0.000 0.500 0.845
0.500 0.000 0.000
0.500 0.000 0.345
0.500 0.000 0.655
```

Symmetry = Immm, No. 71
ΔE to the lowest computed polymorph = 174 meV/atom
ΔH_f (0 K) = -1.09 eV per atom
Raw total energy = -79.861 eV per cell


Record 2
Tm3ScPt3: relaxed, PBE-GGA.

```
Tm3ScPt3
1.0
5.037 -4.703 0.000
5.037 4.703 0.000
-0.882 0.000 6.692
Tm Sc Pt
6 2 6
direct
0.191 0.809 0.000
0.276 0.724 0.500
0.303 0.303 0.993
0.697 0.697 0.007
0.724 0.276 0.500
0.809 0.191 0.000
0.223 0.223 0.454
0.777 0.777 0.546
0.008 0.500 0.247
0.053 0.053 0.709
0.500 0.008 0.247
0.500 0.992 0.753
0.947 0.947 0.291
0.992 0.500 0.753
```

Symmetry = C2/m, No. 12
ΔH_f (0 K) = -1.06 eV per atom
Raw total energy = -90.528 eV per cell


Record 3
TmSc5Pt6: relaxed, PBE-GGA.

```
TmSc5Pt6
1.0
-2.347 3.344 7.045
2.347 -3.344 7.045
2.347 3.344 -7.045
Tm Sc Pt
1 5 6
direct
0.000 0.000 0.000
0.167 0.667 0.500
0.333 0.333 0.000
0.500 0.000 0.500
0.667 0.667 0.000
0.833 0.333 0.500
0.083 0.829 0.254
0.262 0.500 0.762
0.425 0.171 0.254
0.575 0.829 0.746
0.738 0.500 0.238
0.917 0.171 0.746
```

Symmetry = Immm, No. 71
ΔH_f (0 K) = -1.24 eV per atom
Raw total energy = -87.226 eV per cell


Record 4
Tm2Sc3Pt4: relaxed, PBE-GGA.

```
Tm2Sc3Pt4
1.0
7.289 0.000 0.000
0.000 7.366 0.000
-2.576 0.000 6.874
Tm Sc Pt
4 6 8
direct
0.191 0.175 0.066
0.191 0.325 0.566
0.809 0.675 0.434
0.809 0.825 0.934
0.248 0.665 0.246
0.248 0.835 0.746
0.500 0.000 0.500
0.500 0.500 0.000
0.752 0.165 0.254
0.752 0.335 0.754
0.083 0.543 0.849
0.083 0.957 0.349
0.495 0.138 0.867
0.495 0.362 0.367
0.505 0.638 0.633
0.505 0.862 0.133
0.917 0.043 0.651
0.917 0.457 0.151
```

Symmetry = P2_1/c, No. 14
ΔE to the lowest computed polymorph = 0 meV/atom
ΔH_f (0 K) = -1.21 eV per atom
Raw total energy = -125.955 eV per cell